This record from the Alexandria database describes a crystal of Ba2RhAu relaxed with PBEsol. The functional is meta-GGA SCAN.

a = 4.5685 Å, b = 4.5685 Å, c = 6.0539 Å
α = 112.17°, β = 112.17°, γ = 90.00°
Fractional coordinates of all 4 atoms:
Au: 0.2500 0.7500 0.5000
Ba: 0.0000 0.0000 0.0000
Ba: 0.7500 0.2500 0.5000
Rh: 0.5000 0.5000 0.0000

Properties
As for the space-group type: I-4m2 (119). The calculation puts the total magnetic moment at 0.00 μB/atom. The total DFT energy (no corrections) comes out at -45.7068 eV per atom.